GGA-PBE V2GeRu, optimized geometry; symmetry = P2_1/m, No. 11; ΔE_f = -0.3368 eV/atom; E = -33.48 eV/f.u.
1.0
-3.5126 -1.2516 2.1074
2.7442 -3.2358 2.6523
0.4921 3.9682 3.1768
V Ge Ru
4 2 2
Direct
0.2500 0.8806 0.5521
0.7500 0.1194 0.4479
0.2500 0.8608 0.0561
0.7500 0.1392 0.9439
0.2500 0.3481 0.2947
0.7500 0.6519 0.7053
0.2500 0.3684 0.8013
0.7500 0.6316 0.1987